Run i
DFT (PBE) results for an optimized crystal structure of LaNdCuPt.

The value obtained for the total magnetization is 0.0000 μB per atom. The value obtained for the density is 9.047 g/cm³. The calculation puts the density of states at the Fermi level at 7.5 states/eV per cell.

The structure belongs to space group Amm2 (No. 38); the cell edges are 4.5505, 3.9685 and 11.0136 Å and the angles 90.00°, 90.00° and 90.00°. The inequivalent atoms are La at (0.0000, 0.0000, 0.0000), Nd at (0.5000, 0.0000, 0.2739), Cu at (0.0000, 0.0000, 0.7137) and Pt at (0.5000, 0.0000, 0.5595).

=====

Run ii
DFT (PBE) results for an optimized crystal structure of LaNdCuPt.

The value obtained for the total magnetization is 0.0000 μB per atom. The value obtained for the density is 9.367 g/cm³. The calculation puts the density of states at the Fermi level at 11.1 states/eV per cell.

The structure belongs to space group F-43m (No. 216); the cell edges are 7.2696, 7.2696 and 7.2696 Å and the angles 90.00°, 90.00° and 90.00°. The inequivalent atoms are La at (0.0000, 0.0000, 0.0000), Nd at (0.0000, 0.0000, 0.5000), Cu at (0.2500, 0.2500, 0.2500) and Pt at (0.2500, 0.2500, 0.7500).

=====

Which one is most stable, and which one is least stable? run i is the most stable of them, while run ii is the least stable.